This record from Alexandria via LeMat-Bulk describes crystalline PmSc2Cd6 at its relaxed geometry. The functional is PBE.

abc: 5.9443 5.9451 5.9451
angles: 92.09 92.08 92.08
Element x y z (fractional)
1 Sc 0.3372 0.3370 0.3370
2 Cd 0.8311 0.1693 0.5002
3 Cd 0.1689 0.4998 0.8307
4 Cd 0.1689 0.8307 0.4998
5 Sc 0.6629 0.6630 0.6630
6 Cd 0.5000 0.1691 0.8309
7 Cd 0.8311 0.5002 0.1693
8 Cd 0.5000 0.8309 0.1691
9 Pm 0.0000 0.0000 0.0000

**Formation energy from the elements**: -0.26 eV/atom
**Space group**: R-3m (166)
**Calculated total energy**: -25.2 eV for the cell shown